Record 1
CuAgAs2Ru (PBE-GGA, relaxed); ΔH_f (0 K) = 1.394 eV per atom; calculated total energy = -0.136 hartree per atom; volume = 109.1 Å³ per cell; density = 6.43 g cm⁻³
1.0
4.8538 0.0000 0.0000
0.0000 4.8538 0.0000
0.0000 0.0000 4.6321
Cu Ag As Ru
1 1 2 1
Direct
0.0000 0.0000 0.0000
0.0000 0.0000 0.5000
0.0000 0.5000 0.5000
0.5000 0.0000 0.5000
0.5000 0.5000 0.0000

---

Record 2
CuAgAs2S4 (PBE-GGA, relaxed); calculated total energy = -0.151 hartree per atom; formation energy from raw total energies = -0.011 eV per atom; volume = 173.4 Å³ per cell; density = 4.30 g cm⁻³
1.0
0.0000 4.4059 4.7624
4.1327 0.0000 4.7624
4.1327 4.4059 0.0000
Cu Ag As S
1 1 2 4
Direct
0.0000 0.0000 0.0000
0.5035 0.5035 0.4965
0.2463 0.2463 0.2537
0.7463 0.7463 0.7537
0.1099 0.6472 0.3528
0.3703 0.9093 0.6297
0.6472 0.1099 0.8901
0.9093 0.3703 0.0907

---

Record 3
CuAgSbAs2 (PBE-GGA, relaxed); calculated total energy = -0.108 hartree per atom; formation energy from raw total energies = 1.124 eV per atom; volume = 146.1 Å³ per cell; density = 5.03 g cm⁻³
1.0
5.3323 0.0000 0.0000
0.0000 5.3323 0.0000
0.0000 0.0000 5.1389
Cu Ag Sb As
1 1 1 2
Direct
0.0000 0.0000 0.0000
0.5000 0.5000 0.0000
0.5000 0.5000 0.5000
0.0000 0.5000 0.5000
0.5000 0.0000 0.5000

---

Record 4
CuAgAsSe2 (PBE-GGA, relaxed); calculated total energy = -0.117 hartree per atom; ΔE to the lowest computed polymorph = 0 meV per atom; formation energy from raw total energies = 0.532 eV per atom; volume = 111.7 Å³ per cell; density = 6.01 g cm⁻³
1.0
4.9571 0.0000 0.0000
0.0000 4.9571 0.0000
0.0000 0.0000 4.5473
Cu Ag As Se
1 1 1 2
Direct
0.0000 0.0000 0.0000
0.5000 0.5000 0.5000
0.0000 0.0000 0.5000
0.0000 0.5000 0.0000
0.5000 0.0000 0.0000

---

Record 5
CuAgAs2Se (PBE-GGA, relaxed); calculated total energy = -0.123 hartree per atom; ΔE to the lowest computed polymorph = 0 meV per atom; formation energy from raw total energies = 0.601 eV per atom; volume = 109.4 Å³ per cell; density = 6.07 g cm⁻³
1.0
4.6832 0.0000 0.0000
0.0000 4.6832 0.0000
0.0000 0.0000 4.9898
Cu Ag As Se
1 1 2 1
Direct
0.0000 0.0000 0.0000
0.5000 0.5000 0.5000
0.0000 0.5000 0.0000
0.5000 0.0000 0.0000
0.0000 0.0000 0.5000

---

Record 6
CuAg2AsSe (PBE-GGA, relaxed); calculated total energy = -0.111 hartree per atom; formation energy from raw total energies = 0.559 eV per atom; volume = 115.4 Å³ per cell; density = 6.23 g cm⁻³
1.0
5.1000 0.0000 0.0000
0.0000 5.1000 0.0000
0.0000 0.0000 4.4371
Cu Ag As Se
1 2 1 1
Direct
0.0000 0.0000 0.0000
0.0000 0.5000 0.5000
0.5000 0.0000 0.5000
0.5000 0.5000 0.0000
0.0000 0.0000 0.5000

---

> volume of number 3 (CuAgSbAs2)?

146.1 Å³ per cell